{
  "formula": "Pr3Dy2Tm2",
  "functional": "PBE",
  "state": "relaxed",
  "lattice": [[8.8229, -1.7622, 0.0000], [8.8229, 1.7622, 0.0000], [-4.0750, 0.0000, 7.5229]],
  "species": ["Pr", "Pr", "Pr", "Dy", "Dy", "Tm", "Tm"],
  "fractional_positions": [[0.0000, 0.0000, 0.0000], [0.2145, 0.2145, 0.2955], [0.7855, 0.7855, 0.7045], [0.4355, 0.4355, 0.5893], [0.5645, 0.5645, 0.4107], [0.1418, 0.1418, 0.8211], [0.8582, 0.8582, 0.1789]],
  "e_above_lowest_polymorph_ev_per_fu": 0.52,
  "n_ef_per_ev_atom": 1.566,
  "magnetic_moment_mub_per_cell": 0.00,
  "sg": "C2/m, No. 12",
  "e_tot_ry_per_atom": -0.3325
}

{
  "formula": "Pr5Dy2Tm",
  "functional": "PBE",
  "state": "relaxed",
  "lattice": [[3.2292, -13.1342, 0.0000], [3.2292, 13.1342, 0.0000], [-0.6524, 0.0000, 6.5498]],
  "species": ["Pr", "Pr", "Pr", "Pr", "Pr", "Pr", "Pr", "Pr", "Pr", "Pr", "Dy", "Dy", "Dy", "Dy", "Tm", "Tm"],
  "fractional_positions": [[0.1242, 0.8758, 0.7500], [0.1248, 0.4941, 0.9983], [0.1618, 0.3545, 0.6838], [0.3545, 0.1618, 0.1838], [0.4941, 0.1248, 0.4983], [0.5059, 0.8752, 0.5017], [0.6455, 0.8382, 0.8162], [0.8382, 0.6455, 0.3162], [0.8752, 0.5059, 0.0017], [0.8758, 0.1242, 0.2500], [0.0000, 0.0000, 0.0000], [0.0000, 0.0000, 0.5000], [0.0000, 0.5000, 0.5000], [0.5000, 0.0000, 0.0000], [0.4570, 0.5430, 0.2500], [0.5430, 0.4570, 0.7500]],
  "n_ef_per_ev_atom": 1.327,
  "magnetic_moment_mub_per_cell": 0.00,
  "sg": "C2/c, No. 15",
  "e_tot_ry_per_atom": -0.3254
}

{
  "formula": "Pr4Dy3Tm",
  "functional": "PBE",
  "state": "relaxed",
  "lattice": [[11.8425, -1.7533, 0.0000], [11.8425, 1.7533, 0.0000], [-1.9604, 0.0000, 6.5735]],
  "species": ["Pr", "Pr", "Pr", "Pr", "Dy", "Dy", "Dy", "Tm"],
  "fractional_positions": [[0.1229, 0.1229, 0.3674], [0.2594, 0.2594, 0.7661], [0.7406, 0.7406, 0.2339], [0.8771, 0.8771, 0.6326], [0.0000, 0.0000, 0.5000], [0.1213, 0.1213, 0.8815], [0.8787, 0.8787, 0.1185], [0.5000, 0.5000, 0.0000]],
  "e_above_lowest_polymorph_ev_per_fu": 1.07,
  "n_ef_per_ev_atom": 1.644,
  "magnetic_moment_mub_per_cell": 0.00,
  "sg": "C2/m, No. 12",
  "e_tot_ry_per_atom": -0.3315
}